Y2Se2Cl at its PBEsol-relaxed geometry, computed with SCAN.

The structure in POSCAR format:
```
Y2Se2Cl
1.0
3.7432 0.0000 0.0000
0.0000 7.6696 0.0000
0.0000 0.0000 7.6696
Y Se Cl
4 4 2
direct
0.0000 0.3447 0.8447
0.0000 0.8447 0.6553
0.0000 0.6553 0.1553
0.0000 0.1553 0.3447
0.5000 0.1429 0.6429
0.5000 0.6429 0.8571
0.5000 0.8571 0.3571
0.5000 0.3571 0.1429
0.0000 0.0000 0.0000
0.0000 0.5000 0.5000
```

Summary:
Mass density ... 5.60 g cm⁻³
Energy relative to the elements, uncorrected ... -2136 meV/atom
DOS(E_F) ... 2.09 states/eV per cell
Spin magnetization ... 0.0 μB per formula unit